Here is a geometry-optimized SrMg2Ga2 structure from the Alexandria database. Energies are from GGA-PBE.

Values from the calculation:
Total magnetization in μB/f.u.: 0.000
Calculated formation energy in meV/atom: -147
Space group: P4/mbm, No. 127
Density in Mg/m³: 3.8

Cell and atoms, written as POSCAR:
```
SrMg2Ga2
1.0
8.476 0.000 0.000
0.000 8.476 0.000
0.000 0.000 3.383
Sr Mg Ga
2 4 4
direct
0.000 0.000 0.000
0.500 0.500 0.000
0.144 0.356 0.500
0.356 0.856 0.500
0.644 0.144 0.500
0.856 0.644 0.500
0.146 0.646 0.000
0.354 0.146 0.000
0.646 0.854 0.000
0.854 0.354 0.000
```

---

Here is a geometry-optimized KRe4Ru structure from the Alexandria database. Energies are from GGA-PBE.

Values from the calculation:
Total magnetization in μB/f.u.: 0.000
Calculated formation energy in meV/atom: 1083
Space group: F-43m, No. 216
Density in Mg/m³: 14.1

Cell and atoms, written as POSCAR:
```
KRe4Ru
1.0
0.000 3.736 3.736
3.736 0.000 3.736
3.736 3.736 0.000
K Re Ru
1 4 1
direct
0.000 0.000 0.000
0.124 0.625 0.625
0.625 0.124 0.625
0.625 0.625 0.124
0.625 0.625 0.625
0.250 0.250 0.250
```

---

Q: Which formula does entry 1 have?
A: SrMg2Ga2

---

Q: What is the density in the second record?
A: 14.1 Mg/m³

---

Q: Which of these has the lowest calculated formation energy?
A: SrMg2Ga2

---

Q: Number 2 is which compound?
A: KRe4Ru